The following is a DFT calculation (GGA-PBE) of a geometry-optimized Nb3CrIn structure.

Lattice parameters (Å, degrees): 4.982 4.982 4.982 90.00 90.00 90.00
Fractional coordinates of all 5 atoms:
Nb (0.000, 0.000, 0.500)
Nb (0.000, 0.500, 0.000)
Nb (0.500, 0.000, 0.000)
Cr (0.500, 0.500, 0.500)
In (0.000, 0.000, 0.000)

Distance to the lowest polymorph of the same formula   1729 meV per atom
ΔH_f (0 K)   2405 meV per atom



The following is a DFT calculation (GGA-PBE) of a geometry-optimized PmHoCoI structure.

Lattice parameters (Å, degrees): 8.295 8.295 8.295 27.75 27.75 27.75
Fractional coordinates of all 4 atoms:
Pm (0.000, 0.000, 0.000)
Ho (0.214, 0.214, 0.214)
Co (0.605, 0.605, 0.605)
I (0.777, 0.777, 0.777)

Raw formation energy   -567 meV/atom



The following is a DFT calculation (GGA-PBE) of a geometry-optimized Bi6PtAu structure.

Lattice parameters (Å, degrees): 8.736 8.736 10.128 125.00 125.00 70.60
Fractional coordinates of all 16 atoms:
Bi (0.152, 0.837, 0.651)
Bi (0.163, 0.848, 0.349)
Bi (0.186, 0.500, 0.836)
Bi (0.334, 0.334, 0.491)
Bi (0.353, 0.353, 0.195)
Bi (0.500, 0.186, 0.836)
Bi (0.500, 0.814, 0.164)
Bi (0.647, 0.647, 0.805)
Bi (0.666, 0.666, 0.509)
Bi (0.814, 0.500, 0.164)
Bi (0.837, 0.152, 0.651)
Bi (0.848, 0.163, 0.349)
Pt (0.000, 0.500, 0.500)
Pt (0.500, 0.000, 0.500)
Au (0.000, 0.500, 0.000)
Au (0.500, 0.000, 0.000)

Distance to the lowest polymorph of the same formula   0 meV per atom
ΔH_f (0 K)   -82 meV per atom